Compound: AlSe
Source: the Alexandria database
Functional: PBE
Structure: relaxed

Computed properties:
Crystal system: orthorhombic
Final energy, Ry/atom: -0.2897
Energy relative to the elements, uncorrected, kJ/mol of atoms: -31.6
Space-group type: Imma (74)

abc: 8.069 8.069 8.069
angles: 155.54 154.44 35.68
Element x y z (fractional)
Al1 0.424 0.174 0.250
Al2 0.576 0.826 0.750
Se1 0.131 0.381 0.750
Se2 0.869 0.619 0.250

---

Compound: Pm5Tl2Cu2
Source: the Alexandria database
Functional: PBE
Structure: relaxed

Computed properties:
Crystal system: orthorhombic
Final energy, Ry/atom: -0.3134
Energy of formation, eV per atom: -0.19
Space-group type: Cmce (64)

abc: 9.173 9.173 7.260
angles: 90.00 90.00 56.31
Element x y z (fractional)
Pm1 0.000 0.000 0.000
Pm2 0.059 0.692 0.654
Pm3 0.192 0.559 0.154
Pm4 0.308 0.941 0.654
Pm5 0.441 0.808 0.154
Pm6 0.500 0.500 0.500
Pm7 0.559 0.192 0.846
Pm8 0.692 0.059 0.346
Pm9 0.808 0.441 0.846
Pm10 0.941 0.308 0.346
Tl1 0.214 0.214 0.000
Tl2 0.286 0.286 0.500
Tl3 0.714 0.714 0.500
Tl4 0.786 0.786 0.000
Cu1 0.112 0.888 0.376
Cu2 0.388 0.612 0.876
Cu3 0.612 0.388 0.124
Cu4 0.888 0.112 0.624

---

Compound: Ru2WBr
Source: the Alexandria database
Functional: PBE
Structure: relaxed

Computed properties:
Crystal system: tetragonal
Energy above the lowest structure with this stoichiometry, meV per atom: 0
Final energy, Ry/atom: -0.5776
Energy relative to the elements, uncorrected, kJ/mol of atoms: 42.0
Space-group type: P4/mmm (123)

abc: 3.101 3.101 7.130
angles: 90.00 90.00 90.00
Element x y z (fractional)
Ru1 0.000 0.000 0.205
Ru2 0.000 0.000 0.795
W1 0.500 0.500 0.000
Br1 0.500 0.500 0.500

---

Compound: LiCuPb
Source: the Alexandria database
Functional: PBE
Structure: relaxed

Computed properties:
Crystal system: cubic
Final energy, Ry/atom: -0.2383
Energy of formation, eV per atom: 0.00
Space-group type: F-43m (216)

abc: 4.433 4.433 4.433
angles: 60.00 60.00 60.00
Element x y z (fractional)
Li1 0.000 0.000 0.000
Cu1 0.750 0.750 0.750
Pb1 0.500 0.500 0.500

---

Compound: ThPaH4
Source: the Alexandria database
Functional: PBE
Structure: relaxed

Computed properties:
Crystal system: tetragonal
Final energy, Ry/atom: -0.3983
Space-group type: P4/mmm (123)

abc: 3.523 3.523 6.058
angles: 90.00 90.00 90.00
Element x y z (fractional)
Th1 0.000 0.000 0.000
Pa1 0.500 0.500 0.500
H1 0.000 0.500 0.259
H2 0.000 0.500 0.741
H3 0.500 0.000 0.259
H4 0.500 0.000 0.741

---

Compound: KTa2Ir
Source: the Alexandria database
Functional: PBE
Structure: relaxed

Computed properties:
Crystal system: cubic
Energy above the lowest structure with this stoichiometry, meV per atom: 847
Final energy, Ry/atom: -0.5322
Energy of formation, eV per atom: 1.18
Space-group type: F-43m (216)

abc: 4.764 4.764 4.764
angles: 60.00 60.00 60.00
Element x y z (fractional)
K1 0.000 0.000 0.000
Ta1 0.250 0.250 0.250
Ta2 0.500 0.500 0.500
Ir1 0.750 0.750 0.750

---

Compound: NdAs6Pd12
Source: the Alexandria database
Functional: PBE
Structure: relaxed

Computed properties:
Crystal system: trigonal
Final energy, Ry/atom: -0.3950
Energy of formation, eV per atom: -0.38
Space-group type: R-3m (166)

abc: 7.269 7.269 7.269
angles: 104.72 104.72 104.72
Element x y z (fractional)
Nd1 0.000 0.000 0.000
As1 0.250 0.250 0.679
As2 0.250 0.679 0.250
As3 0.321 0.750 0.750
As4 0.679 0.250 0.250
As5 0.750 0.321 0.750
As6 0.750 0.750 0.321
Pd1 0.124 0.500 0.876
Pd2 0.124 0.876 0.500
Pd3 0.160 0.414 0.414
Pd4 0.414 0.160 0.414
Pd5 0.414 0.414 0.160
Pd6 0.500 0.124 0.876
Pd7 0.500 0.876 0.124
Pd8 0.586 0.586 0.840
Pd9 0.586 0.840 0.586
Pd10 0.840 0.586 0.586
Pd11 0.876 0.124 0.500
Pd12 0.876 0.500 0.124

---

Compound: Mg3PN
Source: the Alexandria database
Functional: PBE
Structure: relaxed

Computed properties:
Crystal system: orthorhombic
Energy above the lowest structure with this stoichiometry, meV per atom: 64
Final energy, Ry/atom: -0.3217
Energy relative to the elements, uncorrected, kJ/mol of atoms: -65.0
Space-group type: Pnma (62)

abc: 5.823 8.246 5.844
angles: 90.00 90.00 90.00
Element x y z (fractional)
Mg1 0.010 0.250 0.056
Mg2 0.218 0.029 0.718
Mg3 0.218 0.471 0.718
Mg4 0.282 0.529 0.218
Mg5 0.282 0.971 0.218
Mg6 0.490 0.750 0.556
Mg7 0.510 0.250 0.444
Mg8 0.718 0.029 0.782
Mg9 0.718 0.471 0.782
Mg10 0.782 0.529 0.282
Mg11 0.782 0.971 0.282
Mg12 0.990 0.750 0.944
P1 0.020 0.750 0.498
P2 0.480 0.250 0.998
P3 0.520 0.750 0.002
P4 0.980 0.250 0.502
N1 0.000 0.000 0.000
N2 0.000 0.500 0.000
N3 0.500 0.000 0.500
N4 0.500 0.500 0.500

---

| no. | volume (Å³/cell) | magnetization (μB per cell) | DOS(E_F) (states/eV per atom) |
| --- | --- | --- | --- |
| 1 | 93.8 | 0.00 | 0.42 |
| 2 | 508.3 | 0.00 | 1.07 |
| 3 | 68.5 | 0.00 | 0.93 |
| 4 | 61.6 | 0.00 | 0.66 |
| 5 | 75.2 | 1.04 | 0.90 |
| 6 | 76.5 | 0.00 | 1.15 |
| 7 | 337.7 | 0.00 | 0.43 |
| 8 | 280.6 | 0.00 | 0.00 |